DFT (PBE) results for a relaxed structure of Ac2HSeO.

- Size of the total moment: 0.0819 μB per atom
- DFT total energy: -29.73 eV/cell

```
Ac2HSeO
1.0
-2.1611 0.6270 3.3641
-1.7780 -3.6053 -0.4702
6.8422 -1.3922 2.2203
O Ac Se H
1 2 1 1
direct
0.2500 0.7500 0.5000 O
0.6432 0.6432 0.2864 Ac
0.3568 0.3568 0.7136 Ac
0.0000 0.0000 0.0000 Se
0.7500 0.2500 0.5000 H
```

---

DFT (PBE) results for a relaxed structure of ZrOs2Ru2.

- Size of the total moment: 0.0000 μB per atom
- ΔH_f (0 K): 0.92 eV per formula unit
- ΔE to the lowest computed polymorph: 0.2224 eV per atom

```
ZrOs2Ru2
1.0
-3.4269 1.1106 -1.5634
-1.7883 -3.0070 1.7837
-3.5867 2.2584 4.5341
Os Ru Zr
2 2 1
direct
0.7500 0.2500 0.5000 Os
0.2500 0.7500 0.5000 Os
0.6041 0.6041 0.7919 Ru
0.3959 0.3959 0.2081 Ru
0.0000 0.0000 0.0000 Zr
```

---

DFT (PBE) results for a relaxed structure of Y2InTe6Pb3.

- Size of the total moment: 0.0000 μB per atom
- Energy relative to the elements, uncorrected: -8.38 eV per formula unit

```
Y2InTe6Pb3
1.0
4.4713 0.0000 0.0000
0.0000 9.4141 0.3489
-2.2356 -2.7044 9.5553
In Te Pb Y
1 6 3 2
direct
0.5000 0.0000 0.0000 In
0.6732 0.1138 0.3464 Te
0.3296 0.4178 0.6591 Te
0.0094 0.2578 0.0188 Te
0.6704 0.5822 0.3409 Te
0.9906 0.7422 0.9812 Te
0.3268 0.8862 0.6536 Te
0.5000 0.5000 0.0000 Pb
0.8408 0.1527 0.6815 Pb
0.1592 0.8473 0.3185 Pb
0.1681 0.3473 0.3363 Y
0.8319 0.6527 0.6637 Y
```